Material: Sm2AlWN5
Method: DFT, GGA-PBE
State: relaxed

The uncorrected formation energy comes out at -1.032 eV/atom. The density comes out at 8.67 g/cm3.

The space group is Cmc2_1 (No. 36) and the conventional cell measures 3.212, 13.554 and 10.239 Å, with angles of 90.00, 90.00 and 90.00 degrees. The distinct sites, in fractional coordinates, are Sm at (0.000, 0.110, 0.000), Sm at (0.000, 0.129, 0.583), Al at (0.000, 0.484, 0.770), W at (0.000, 0.221, 0.302), N at (0.000, 0.061, 0.340), N at (0.000, 0.282, 0.934), N at (0.000, 0.299, 0.672), N at (0.000, 0.365, 0.299) and N at (0.000, 0.500, 0.087).



Material: Sm2GdPt
Method: DFT, GGA-PBE
State: relaxed

The value obtained for the calculated formation energy is -521 meV per atom. The density comes out at 9.57 g/cm3.

The space group is P4/mmm (No. 123) and the conventional cell measures 3.646, 3.646 and 8.527 Å, with angles of 90.00, 90.00 and 90.00 degrees. The distinct sites, in fractional coordinates, are Sm at (0.000, 0.000, 0.195), Gd at (0.500, 0.500, 0.500) and Pt at (0.500, 0.500, 0.000).



Material: VAuC3
Method: DFT, GGA-PBE
State: relaxed

The value obtained for the calculated formation energy is 1973 meV per atom. The density comes out at 7.60 g/cm3.

The space group is Pm-3m (No. 221) and the conventional cell measures 3.958, 3.958 and 3.958 Å, with angles of 90.00, 90.00 and 90.00 degrees. The distinct sites, in fractional coordinates, are V at (0.000, 0.000, 0.000), Au at (0.500, 0.500, 0.500) and C at (0.000, 0.000, 0.500).



Material: NbCrCo3
Method: DFT, GGA-PBE
State: relaxed

The value obtained for the calculated formation energy is 192 meV per atom. The density comes out at 8.31 g/cm3.

The space group is I4mm (No. 107) and the conventional cell measures 3.599, 3.599 and 9.932 Å, with angles of 90.00, 90.00 and 90.00 degrees. The distinct sites, in fractional coordinates, are Nb at (0.000, 0.000, 0.000), Cr at (0.000, 0.000, 0.620), Co at (0.000, 0.000, 0.410) and Co at (0.000, 0.500, 0.255).



Material: KBe2Ag
Method: DFT, GGA-PBE
State: relaxed

The value obtained for the calculated formation energy is 265 meV per atom. The density comes out at 3.12 g/cm3.

The space group is Cm (No. 8) and the conventional cell measures 7.120, 4.117 and 6.631 Å, with angles of 90.00, 115.43 and 90.00 degrees. The distinct sites, in fractional coordinates, are K at (0.000, 0.000, 0.000), Be at (0.174, 0.000, 0.516), Be at (0.329, 0.500, 0.484) and Ag at (0.002, 0.500, 0.500).



Material: LaPm3Rh
Method: DFT, GGA-PBE
State: relaxed

The value obtained for the calculated formation energy is -313 meV per atom. The density comes out at 6.90 g/cm3.

The space group is Ima2 (No. 46) and the conventional cell measures 8.734, 8.483 and 8.800 Å, with angles of 90.00, 90.00 and 90.00 degrees. The distinct sites, in fractional coordinates, are La at (0.250, 0.039, 0.000), Pm at (0.050, 0.709, 0.199), Pm at (0.250, 0.041, 0.400) and Rh at (0.250, 0.115, 0.704).